<one>
This record from Alexandria via LeMat-Bulk describes a PBEsol-optimized structure of HfAlBr2. The functional is SCAN.

It has space group R-3m (No. 166, hexagonal axes), with a = 3.3960 Å, b = 3.3960 Å, c = 29.4833 Å, α = 90.00°, β = 90.00° and γ = 120.00°. Symmetry generates all atoms from Hf at (0.0000, 0.0000, 0.0000), Al at (0.0000, 0.0000, 0.5000) and Br at (0.0000, 0.0000, 0.0854).

The density of states at the Fermi level is 2.80 states/eV/f.u.



<two>
This record from Alexandria via LeMat-Bulk describes a PBEsol-optimized structure of HfAlBr2. The functional is SCAN.

It has space group Fm-3m (No. 225), with a = 6.793 Å, b = 6.793 Å, c = 6.793 Å, α = 90.00°, β = 90.00° and γ = 90.00°. Symmetry generates all atoms from Hf at (0.000, 0.000, 0.000), Al at (0.000, 0.000, 0.500) and Br at (0.250, 0.250, 0.250).

The density of states at the Fermi level is 2.05 states/eV/f.u.



Of them, <two> has the lowest stability.



<one>
This record from Alexandria via LeMat-Bulk describes a PBEsol-optimized structure of AlHg2Br. The functional is SCAN.

It has space group F-43m (No. 216), with a = 7.348 Å, b = 7.348 Å, c = 7.348 Å, α = 90.00°, β = 90.00° and γ = 90.00°. Symmetry generates all atoms from Al at (0.000, 0.000, 0.000), Hg at (0.000, 0.000, 0.500), Hg at (0.250, 0.250, 0.750) and Br at (0.250, 0.250, 0.250).

The density of states at the Fermi level is 0.26 states/eV/f.u.



<two>
This record from Alexandria via LeMat-Bulk describes a PBEsol-optimized structure of AlHg2Br. The functional is SCAN.

It has space group R-3m (No. 166, hexagonal axes), with a = 3.8120 Å, b = 3.8120 Å, c = 22.5451 Å, α = 90.00°, β = 90.00° and γ = 120.00°. Symmetry generates all atoms from Al at (0.0000, 0.0000, 0.0000), Hg at (0.0000, 0.0000, 0.2604) and Br at (0.0000, 0.0000, 0.5000).

The density of states at the Fermi level is 1.14 states/eV/f.u.



Of them, <one> has the lowest stability.



<one>
This record from Alexandria via LeMat-Bulk describes a PBEsol-optimized structure of AlIrBr2. The functional is SCAN.

It has space group R-3m (No. 166, hexagonal axes), with a = 3.6304 Å, b = 3.6304 Å, c = 24.3427 Å, α = 90.00°, β = 90.00° and γ = 120.00°. Symmetry generates all atoms from Al at (0.0000, 0.0000, 0.0000), Ir at (0.0000, 0.0000, 0.5000) and Br at (0.0000, 0.0000, 0.2251).

The density of states at the Fermi level is 2.70 states/eV/f.u.



<two>
This record from Alexandria via LeMat-Bulk describes a PBEsol-optimized structure of AlIrBr2. The functional is SCAN.

It has space group P4/mmm (No. 123), with a = 4.800 Å, b = 4.800 Å, c = 3.167 Å, α = 90.00°, β = 90.00° and γ = 90.00°. Symmetry generates all atoms from Al at (0.000, 0.000, 0.000), Ir at (0.500, 0.500, 0.000) and Br at (0.000, 0.500, 0.500).

The density of states at the Fermi level is 2.82 states/eV/f.u.



Of them, <two> has the lowest stability.



<one>
This record from Alexandria via LeMat-Bulk describes a PBEsol-optimized structure of AlIr2Br. The functional is SCAN.

It has space group Cmmm (No. 65), with a = 2.849 Å, b = 4.692 Å, c = 10.107 Å, α = 90.00°, β = 90.00° and γ = 90.00°. Symmetry generates all atoms from Al at (0.000, 0.000, 0.000), Ir at (0.000, 0.500, 0.194) and Br at (0.000, 0.000, 0.500).

The density of states at the Fermi level is 2.76 states/eV/f.u.



<two>
This record from Alexandria via LeMat-Bulk describes a PBEsol-optimized structure of AlIr2Br. The functional is SCAN.

It has space group P4mm (No. 99), with a = 2.894 Å, b = 2.894 Å, c = 7.651 Å, α = 90.00°, β = 90.00° and γ = 90.00°. Symmetry generates all atoms from Al at (0.000, 0.000, 0.000), Ir at (0.000, 0.000, 0.561), Ir at (0.500, 0.500, 0.803) and Br at (0.500, 0.500, 0.307).

The density of states at the Fermi level is 4.49 states/eV/f.u.



<three>
This record from Alexandria via LeMat-Bulk describes a PBEsol-optimized structure of AlIr2Br. The functional is SCAN.

It has space group P4/mmm (No. 123), with a = 2.957 Å, b = 2.957 Å, c = 7.055 Å, α = 90.00°, β = 90.00° and γ = 90.00°. Symmetry generates all atoms from Al at (0.000, 0.000, 0.000), Ir at (0.500, 0.500, 0.207) and Br at (0.000, 0.000, 0.500).

The density of states at the Fermi level is 3.17 states/eV/f.u.



Of them, <two> has the lowest stability.



<one>
This record from Alexandria via LeMat-Bulk describes a PBEsol-optimized structure of KAl2Br. The functional is SCAN.

It has space group P4mm (No. 99), with a = 3.801 Å, b = 3.801 Å, c = 8.390 Å, α = 90.00°, β = 90.00° and γ = 90.00°. Symmetry generates all atoms from K at (0.000, 0.000, 0.000), Al at (0.000, 0.000, 0.421), Al at (0.500, 0.500, 0.489) and Br at (0.500, 0.500, 0.809).

The density of states at the Fermi level is 1.82 states/eV/f.u.



<two>
This record from Alexandria via LeMat-Bulk describes a PBEsol-optimized structure of KAl2Br. The functional is SCAN.

It has space group Cm (No. 8), with a = 8.037 Å, b = 4.626 Å, c = 6.732 Å, α = 90.00°, β = 94.34° and γ = 90.00°. Symmetry generates all atoms from K at (0.000, 0.000, 0.000), Al at (0.141, 0.500, 0.632), Al at (0.308, 0.000, 0.644) and Br at (0.184, 0.500, 0.254).

The density of states at the Fermi level is 1.16 states/eV/f.u.



Of them, <one> has the lowest stability.



<one>
This record from Alexandria via LeMat-Bulk describes a PBEsol-optimized structure of Li2AlBr. The functional is SCAN.

It has space group Pmmm (No. 47), with a = 3.598 Å, b = 3.861 Å, c = 6.001 Å, α = 90.00°, β = 90.00° and γ = 90.00°. Symmetry generates all atoms from Li at (0.000, 0.000, 0.000), Li at (0.500, 0.000, 0.500), Al at (0.000, 0.500, 0.500) and Br at (0.500, 0.500, 0.000).

The density of states at the Fermi level is 0.86 states/eV/f.u.



<two>
This record from Alexandria via LeMat-Bulk describes a PBEsol-optimized structure of Li2AlBr. The functional is SCAN.

It has space group P4mm (No. 99), with a = 3.411 Å, b = 3.411 Å, c = 7.666 Å, α = 90.00°, β = 90.00° and γ = 90.00°. Symmetry generates all atoms from Li at (0.000, 0.000, 0.000), Li at (0.500, 0.500, 0.255), Al at (0.000, 0.000, 0.433) and Br at (0.500, 0.500, 0.919).

The density of states at the Fermi level is 1.36 states/eV/f.u.



<three>
This record from Alexandria via LeMat-Bulk describes a PBEsol-optimized structure of Li2AlBr. The functional is SCAN.

It has space group P2/m (No. 10), with a = 4.481 Å, b = 3.297 Å, c = 5.680 Å, α = 90.00°, β = 111.53° and γ = 90.00°. Symmetry generates all atoms from Li at (0.000, 0.000, 0.000), Li at (0.000, 0.500, 0.500), Al at (0.500, 0.000, 0.500) and Br at (0.500, 0.500, 0.000).

The density of states at the Fermi level is 0.97 states/eV/f.u.



Of them, <one> has the lowest stability.



<one>
This record from Alexandria via LeMat-Bulk describes a PBEsol-optimized structure of Mg2AlBr. The functional is SCAN.

It has space group I4/mmm (No. 139), with a = 4.603 Å, b = 4.603 Å, c = 8.576 Å, α = 90.00°, β = 90.00° and γ = 90.00°. Symmetry generates all atoms from Mg at (0.000, 0.500, 0.250), Al at (0.000, 0.000, 0.000) and Br at (0.000, 0.000, 0.500).

The density of states at the Fermi level is 2.39 states/eV/f.u.



<two>
This record from Alexandria via LeMat-Bulk describes a PBEsol-optimized structure of Mg2AlBr. The functional is SCAN.

It has space group P4/mmm (No. 123), with a = 3.316 Å, b = 3.316 Å, c = 7.792 Å, α = 90.00°, β = 90.00° and γ = 90.00°. Symmetry generates all atoms from Mg at (0.000, 0.000, 0.232), Al at (0.500, 0.500, 0.000) and Br at (0.500, 0.500, 0.500).

The density of states at the Fermi level is 1.43 states/eV/f.u.



Of them, <one> has the lowest stability.